# 1
Computed, not measured: an optimized crystal structure of Dy3Y2Ho6Zr at the PBE-GGA level of DFT.

Calculated values
V (Å³/cell): 365
Space group: No. 12
ΔH_f (0 K) (kJ/mol of formula units): 51
Total magnetic moment (μB/f.u.): 0.0

POSCAR file:
```
Dy3Y2Ho6Zr
1.0
-3.788 -4.521 -1.426
2.175 0.458 5.647
-8.368 7.885 1.504
Ho Dy Y Zr
6 3 2 1
direct
0.592 0.919 0.754 Ho
0.919 0.592 0.754 Ho
0.081 0.408 0.246 Ho
0.755 0.755 0.245 Ho
0.408 0.081 0.246 Ho
0.245 0.245 0.755 Ho
0.500 0.500 0.500 Dy
0.167 0.833 0.500 Dy
0.833 0.167 0.500 Dy
0.667 0.333 0.000 Y
0.333 0.667 0.000 Y
0.000 0.000 0.000 Zr
```

***

# 2
Computed, not measured: an optimized crystal structure of Dy2HoZn at the PBE-GGA level of DFT.

Calculated values
V (Å³/cell): 114
Relative energy among the computed polymorphs (eV/atom): 0.105
Space group: No. 160
ΔH_f (0 K) (kJ/mol of formula units): -21
Total magnetic moment (μB/f.u.): 0.4

POSCAR file:
```
Dy2HoZn
1.0
3.589 0.000 0.000
1.795 3.108 0.000
1.795 1.036 10.182
Dy Ho Zn
2 1 1
direct
0.073 0.073 0.782 Dy
0.261 0.261 0.218 Dy
0.500 0.500 0.499 Ho
0.666 0.666 0.001 Zn
```

***

# 3
Computed, not measured: an optimized crystal structure of Dy4HoZn at the PBE-GGA level of DFT.

Calculated values
V (Å³/cell): 171
Relative energy among the computed polymorphs (eV/atom): 0.000
Space group: No. 123
ΔH_f (0 K) (kJ/mol of formula units): -58
Total magnetic moment (μB/f.u.): 0.0

POSCAR file:
```
Dy4HoZn
1.0
-3.068 -0.074 -1.772
0.716 -3.291 -1.103
-6.245 -5.054 11.022
Dy Zn Ho
4 1 1
direct
0.500 0.500 0.183 Dy
0.000 0.000 0.369 Dy
0.000 0.000 0.631 Dy
0.500 0.500 0.817 Dy
0.500 0.500 0.500 Zn
0.000 0.000 0.000 Ho
```